Arrangement i

Compound: CaSbPdI2
Source: the Alexandria database
Functional: PBE
Structure: optimized geometry

Cell lengths 5.9227, 5.9227, 6.2012 Å; angles 90.00, 90.00, 90.00 degrees
Closest atoms and distances in Å follow each position.
Space group P4/mmm (No. 123)
Inequivalent atoms, fractional coordinates:
Ca (0.0000, 0.0000, 0.0000)  4 I 2.96, 2 Sb 3.10
Sb (0.0000, 0.0000, 0.5000)  2 Ca 3.10
Pd (0.5000, 0.5000, 0.5000)  4 Sb 4.19, 8 I 4.29
I (0.0000, 0.5000, 0.0000)  2 Ca 2.96

Calculated density, kg/m³: 3985
Spin magnetization, μB/cell: 1.33



Arrangement ii

Compound: CaSbPdI2
Source: the Alexandria database
Functional: PBE
Structure: optimized geometry

Cell lengths 5.4962, 5.4962, 5.4176 Å; angles 90.00, 90.00, 90.00 degrees
Closest atoms and distances in Å follow each position.
Space group P4/mmm (No. 123)
Inequivalent atoms, fractional coordinates:
Ca (0.0000, 0.0000, 0.0000)  8 I 3.86, 4 Sb 3.89
Sb (0.5000, 0.5000, 0.0000)  2 Pd 2.71
Pd (0.5000, 0.5000, 0.5000)  2 Sb 2.71, 4 I 2.75
I (0.0000, 0.5000, 0.5000)  2 Pd 2.75

Calculated density, kg/m³: 5297
Spin magnetization, μB/cell: 0.71



Stability summary - winner: arrangement ii; margin: 530 meV per atom.



Arrangement i

Compound: CaSb2PdI
Source: the Alexandria database
Functional: PBE
Structure: optimized geometry

Cell lengths 5.2267, 5.2267, 5.7477 Å; angles 90.00, 90.00, 90.00 degrees
Closest atoms and distances in Å follow each position.
Space group P4/mmm (No. 123)
Inequivalent atoms, fractional coordinates:
Ca (0.0000, 0.0000, 0.0000)  4 I 3.70, 8 Sb 3.88
Sb (0.0000, 0.5000, 0.5000)  2 Pd 2.61
Pd (0.5000, 0.5000, 0.5000)  4 Sb 2.61, 2 I 2.87
I (0.5000, 0.5000, 0.0000)  2 Pd 2.87

Calculated density, kg/m³: 5467
Spin magnetization, μB/cell: 0.00



Arrangement ii

Compound: CaSb2PdI
Source: the Alexandria database
Functional: PBE
Structure: optimized geometry

Cell lengths 5.8215, 5.8215, 5.7590 Å; angles 90.00, 90.00, 90.00 degrees
Closest atoms and distances in Å follow each position.
Space group P4/mmm (No. 123)
Inequivalent atoms, fractional coordinates:
Ca (0.0000, 0.0000, 0.0000)  2 I 2.88, 4 Sb 2.91
Sb (0.0000, 0.5000, 0.0000)  2 Ca 2.91
Pd (0.5000, 0.5000, 0.5000)  8 Sb 4.09, 4 I 4.12
I (0.0000, 0.0000, 0.5000)  2 Ca 2.88

Calculated density, kg/m³: 4398
Spin magnetization, μB/cell: 0.00



Stability summary - winner: arrangement i; margin: 816 meV per atom.



Arrangement i

Compound: CaTe2PdI
Source: the Alexandria database
Functional: PBE
Structure: optimized geometry

Cell lengths 5.3661, 5.3661, 5.5136 Å; angles 90.00, 90.00, 90.00 degrees
Closest atoms and distances in Å follow each position.
Space group P4/mmm (No. 123)
Inequivalent atoms, fractional coordinates:
Ca (0.0000, 0.0000, 0.0000)  4 I 3.79, 8 Te 3.85
Te (0.0000, 0.5000, 0.5000)  2 Pd 2.68
Pd (0.5000, 0.5000, 0.5000)  4 Te 2.68, 2 I 2.76
I (0.5000, 0.5000, 0.0000)  2 Pd 2.76

Calculated density, kg/m³: 5529
Spin magnetization, μB/cell: 0.00



Arrangement ii

Compound: CaTe2PdI
Source: the Alexandria database
Functional: PBE
Structure: optimized geometry

Cell lengths 5.8981, 5.8981, 5.9039 Å; angles 90.00, 90.00, 90.00 degrees
Closest atoms and distances in Å follow each position.
Space group P4/mmm (No. 123)
Inequivalent atoms, fractional coordinates:
Ca (0.0000, 0.0000, 0.0000)  4 Te 2.95, 2 I 2.95
Te (0.0000, 0.5000, 0.0000)  2 Ca 2.95
Pd (0.5000, 0.5000, 0.5000)  4 I 4.17, 8 Te 4.17
I (0.0000, 0.0000, 0.5000)  2 Ca 2.95

Calculated density, kg/m³: 4274
Spin magnetization, μB/cell: 1.82



Stability summary - winner: arrangement i; margin: 723 meV per atom.



Arrangement i

Compound: CaTePdI2
Source: the Alexandria database
Functional: PBE
Structure: optimized geometry

Cell lengths 5.9858, 5.9858, 6.1219 Å; angles 90.00, 90.00, 90.00 degrees
Closest atoms and distances in Å follow each position.
Space group P4/mmm (No. 123)
Inequivalent atoms, fractional coordinates:
Ca (0.0000, 0.0000, 0.0000)  4 I 2.99, 2 Te 3.06
Te (0.0000, 0.0000, 0.5000)  2 Ca 3.06
Pd (0.5000, 0.5000, 0.5000)  4 Te 4.23, 8 I 4.28
I (0.0000, 0.5000, 0.0000)  2 Ca 2.99

Calculated density, kg/m³: 3997
Spin magnetization, μB/cell: 2.08



Arrangement ii

Compound: CaTePdI2
Source: the Alexandria database
Functional: PBE
Structure: optimized geometry

Cell lengths 5.4241, 5.4241, 5.5866 Å; angles 90.00, 90.00, 90.00 degrees
Closest atoms and distances in Å follow each position.
Space group P4/mmm (No. 123)
Inequivalent atoms, fractional coordinates:
Ca (0.0000, 0.0000, 0.0000)  4 Te 3.84, 8 I 3.89
Te (0.5000, 0.5000, 0.0000)  2 Pd 2.79
Pd (0.5000, 0.5000, 0.5000)  4 I 2.71, 2 Te 2.79
I (0.0000, 0.5000, 0.5000)  2 Pd 2.71

Calculated density, kg/m³: 5333
Spin magnetization, μB/cell: 0.00



Stability summary - winner: arrangement ii; margin: 536 meV per atom.



Arrangement i

Compound: Ca2PmI
Source: the Alexandria database
Functional: PBE
Structure: optimized geometry

Cell lengths 3.9174, 3.9174, 32.7611 Å; angles 90.00, 90.00, 120.00 degrees
Closest atoms and distances in Å follow each position.
Space group R-3m (No. 166, hexagonal axes)
Inequivalent atoms, fractional coordinates:
Ca (0.0000, 0.0000, 0.2420)  3 I 3.35
Pm (0.0000, 0.0000, 0.0000)  6 Ca 3.75, 6 Pm 3.92
I (0.0000, 0.0000, 0.5000)  6 Ca 3.35

Calculated density, kg/m³: 4028
Spin magnetization, μB/cell: 0.00



Arrangement ii

Compound: Ca2PmI
Source: the Alexandria database
Functional: PBE
Structure: optimized geometry

Cell lengths 3.8056, 3.8056, 10.1046 Å; angles 90.00, 90.00, 90.00 degrees
Closest atoms and distances in Å follow each position.
Space group P4/mmm (No. 123)
Inequivalent atoms, fractional coordinates:
Ca (0.0000, 0.0000, 0.2342)  4 I 3.58, 4 Pm 3.80, 4 Ca 3.81
Pm (0.5000, 0.5000, 0.5000)  8 Ca 3.80, 4 Pm 3.81
I (0.5000, 0.5000, 0.0000)  8 Ca 3.58, 4 I 3.81

Calculated density, kg/m³: 3995
Spin magnetization, μB/cell: 0.00



Stability summary - winner: arrangement i; margin: 58 meV per atom.



Arrangement i

Compound: CaPrI
Source: the Alexandria database
Functional: PBE
Structure: optimized geometry

Cell lengths 3.9863, 3.9863, 7.9277 Å; angles 90.00, 90.00, 120.00 degrees
Closest atoms and distances in Å follow each position.
Space group P3m1 (No. 156)
Inequivalent atoms, fractional coordinates:
Ca (0.0000, 0.0000, 0.0000)  3 I 3.41, 3 Pr 3.75
Pr (0.6667, 0.3333, 0.3741)  3 I 3.36, 3 Ca 3.75
I (0.3333, 0.6667, 0.6830)  3 Pr 3.36, 3 Ca 3.41

Calculated density, kg/m³: 4686
Spin magnetization, μB/cell: 0.00



Arrangement ii

Compound: CaPrI
Source: the Alexandria database
Functional: PBE
Structure: optimized geometry

Cell lengths 12.0609, 6.0926, 6.1074 Å; angles 90.00, 90.00, 90.00 degrees
Closest atoms and distances in Å follow each position.
Space group Amm2 (No. 38)
Inequivalent atoms, fractional coordinates:
Ca (0.0000, 0.0000, 0.0000)  2 I 3.30
Ca (0.5000, 0.0000, 0.3026)  2 I 3.30, 8 Pr 3.64-3.65
Pr (0.3349, 0.0000, 0.8044)  4 I 3.31-3.33, 4 Ca 3.64-3.65
I (0.2264, 0.0000, 0.3031)  2 Ca 3.30, 4 Pr 3.31-3.33

Calculated density, kg/m³: 4557
Spin magnetization, μB/cell: 0.00



Stability summary - winner: arrangement i; margin: 162 meV per atom.